This record from the Alexandria database describes an optimized crystal structure of Na2HoSn3S6. The functional is GGA-PBE.

Properties
* SG: C2/m (12)
* energy relative to the elements, uncorrected: -1094 kJ/mol of formula units
* E_tot: -0.169 Ha/atom

Cell: 7.0426 7.0426 7.0594 Å, 99.42 99.42 120.48°
Atoms (fractional coordinates):
1 Na 0.1688 0.8312 0.0000
2 Na 0.8312 0.1688 0.0000
3 Ho 0.5000 0.5000 0.0000
4 Sn 0.0000 0.0000 0.5000
5 Sn 0.3373 0.6627 0.5000
6 Sn 0.6627 0.3373 0.5000
7 S 0.1056 0.4099 0.7570
8 S 0.2700 0.2700 0.2561
9 S 0.4099 0.1056 0.7570
10 S 0.5901 0.8944 0.2430
11 S 0.7300 0.7300 0.7439
12 S 0.8944 0.5901 0.2430